Record 1
Here is Fe3Hg after structural relaxation from Alexandria via LeMat-Bulk. Energies are from GGA-PBEsol.

```
Fe3Hg
1.0
2.973 0.000 0.000
0.000 2.973 0.000
0.000 0.000 6.036
Fe Hg
3 1
direct
0.000 0.000 0.000
0.500 0.500 0.207
0.500 0.500 0.793
0.000 0.000 0.500
```

Calculated values
**Crystal system**: tetragonal
**Energy of formation from the pure elements**: 0.26 eV per atom

Record 2
Here is FeHgI3 after structural relaxation from Alexandria via LeMat-Bulk. Energies are from GGA-PBEsol.

```
FeHgI3
1.0
5.348 0.000 0.000
0.000 5.348 0.000
0.000 0.000 5.348
Fe Hg I
1 1 3
direct
0.000 0.000 0.000
0.500 0.500 0.500
0.000 0.000 0.500
0.000 0.500 0.000
0.500 0.000 0.000
```

Calculated values
**Crystal system**: cubic
**Raw formation energy**: 3.40 kcal/mol of atoms

Record 3
Here is FeHg2I after structural relaxation from Alexandria via LeMat-Bulk. Energies are from GGA-PBEsol.

```
FeHg2I
1.0
0.000 3.650 3.650
3.650 0.000 3.650
3.650 3.650 0.000
Fe Hg I
1 2 1
direct
0.000 0.000 0.000
0.250 0.250 0.250
0.750 0.750 0.750
0.500 0.500 0.500
```

Calculated values
**Crystal system**: cubic
**Raw formation energy**: 19.63 kcal/mol of atoms

Record 4
Here is FeHgSbI2 after structural relaxation from Alexandria via LeMat-Bulk. Energies are from GGA-PBEsol.

```
FeHgSbI2
1.0
5.714 0.000 0.000
0.000 5.714 0.000
0.000 0.000 5.555
Fe Hg Sb I
1 1 1 2
direct
0.000 0.000 0.000
0.500 0.500 0.500
0.500 0.500 0.000
0.000 0.500 0.500
0.500 0.000 0.500
```

Calculated values
**Crystal system**: tetragonal
**Raw formation energy**: 26.01 kcal/mol of atoms

Across the entries above, magnetic moment takes the values 7.41 3.99 3.72 3.43 μB per formula unit, respectively.
Across the entries above, total energy takes the values -6.607 -2.819 -2.115 -2.396 eV per atom, respectively.